VZnIrO6: optimized geometry, PBE+U.

a = 5.0409 Å, b = 5.0409 Å, c = 9.0198 Å
α = 90.00°, β = 90.00°, γ = 120.00°
Space group P-31c (No. 163)
Unique sites:
V1 0.3333 0.6667 0.2500 (multiplicity 2)
Zn1 0.0000 0.0000 0.0000 (multiplicity 2)
Ir1 0.3333 0.6667 0.7500 (multiplicity 2)
O1 0.0110 0.3566 0.1338 (multiplicity 12)

- total DFT energy (no corrections) (eV/cell) = -115.932
- magnetic moment (Bohr magnetons per cell) = 3.89